Below is a relaxed ZnBS2 crystal, with properties calculated at the PBE level.

Values from the calculation:
Magnetic moment in μB per formula unit: 0.00
Formation energy without anion corrections in meV per atom: 1052
Volume in Å³ per cell: 58
DOS at the Fermi energy in states/eV per atom: 0.635
SG: Fm-3m (225)
Theoretical density in g/cm³: 4.05

Unit cell a=4.3325 b=4.3325 c=4.3325 alpha=60.00 beta=60.00 gamma=60.00
With the nearest neighbours (Å) after each atom.
Fractional positions:
S  0.2500  0.2500  0.2500  4 B 2.65, 4 Zn 2.65
S  0.7500  0.7500  0.7500  4 B 2.65, 4 Zn 2.65
B  0.0000  0.0000  0.0000  8 S 2.65
Zn  0.5000  0.5000  0.5000  8 S 2.65



Below is a relaxed Cs2Te3Pt crystal, with properties calculated at the PBE level.

Values from the calculation:
Magnetic moment in μB per formula unit: 0.00
Formation energy without anion corrections in meV per atom: -614
Volume in Å³ per cell: 529
DOS at the Fermi energy in states/eV per atom: 0.098
SG: Cmc2_1 (36)
Theoretical density in g/cm³: 5.30

Unit cell a=7.2166 b=8.8714 c=8.8714 alpha=111.44 beta=90.00 gamma=90.00
With the nearest neighbours (Å) after each atom.
Fractional positions:
Te  0.5354  0.8458  0.0927  2 Pt 2.64-2.66
Te  0.0354  0.9073  0.1542  2 Pt 2.64-2.66
Te  0.0354  0.1542  0.9073  2 Pt 2.64-2.66
Te  0.2498  0.3291  0.3291  1 Pt 2.70
Te  0.5354  0.0927  0.8458  2 Pt 2.64-2.66
Te  0.7498  0.6709  0.6709  1 Pt 2.70
Pt  0.8025  0.9383  0.9383  5 Te 2.64-2.70
Pt  0.3025  0.0617  0.0617  5 Te 2.64-2.70
Cs  0.2224  0.5173  0.8032  5 Te 3.84-4.00, 1 Cs 4.19
Cs  0.7224  0.4827  0.1968  5 Te 3.84-4.00, 1 Cs 4.19
Cs  0.7224  0.1968  0.4827  5 Te 3.84-4.00, 1 Cs 4.19
Cs  0.2224  0.8032  0.5173  5 Te 3.84-4.00, 1 Cs 4.19



Below is a relaxed Cs4PmPa3O12 crystal, with properties calculated at the PBE level.

Values from the calculation:
Magnetic moment in μB per formula unit: 1.38
Formation energy without anion corrections in meV per atom: -2778
Volume in Å³ per cell: 366
DOS at the Fermi energy in states/eV per atom: 1.004
SG: Im-3m (229)
Theoretical density in g/cm³: 7.09

Unit cell a=7.8022 b=7.8022 c=7.8022 alpha=109.47 beta=109.47 gamma=109.47
With the nearest neighbours (Å) after each atom.
Fractional positions:
O  0.2671  0.0000  0.2671  1 Pa 2.10
O  0.0000  0.7329  0.7329  1 Pa 2.10
O  0.7500  0.5000  0.2500  2 Pa 2.25
O  0.5000  0.2500  0.7500  2 Pa 2.25
O  0.2500  0.5000  0.7500  2 Pa 2.25
O  0.7500  0.2500  0.5000  2 Pa 2.25
O  0.2671  0.2671  0.0000  1 Pa 2.10
O  0.7329  0.0000  0.7329  1 Pa 2.10
O  0.7329  0.7329  0.0000  1 Pa 2.10
O  0.0000  0.2671  0.2671  1 Pa 2.10
O  0.2500  0.7500  0.5000  2 Pa 2.25
O  0.5000  0.7500  0.2500  2 Pa 2.25
Pa  0.5000  0.0000  0.5000  6 O 2.10-2.25
Pa  0.0000  0.5000  0.5000  6 O 2.10-2.25
Pa  0.5000  0.5000  0.0000  6 O 2.10-2.25
Cs  0.0000  0.5000  0.0000  12 O 3.19
Cs  0.5000  0.0000  0.0000  12 O 3.19
Cs  0.5000  0.5000  0.5000  12 O 3.19
Cs  0.0000  0.0000  0.5000  12 O 3.19
Pm  0.0000  0.0000  0.0000  6 O 2.41



Below is a relaxed TbBeCo4Si2 crystal, with properties calculated at the PBE level.

Values from the calculation:
Magnetic moment in μB per formula unit: 0.00
Formation energy without anion corrections in meV per atom: -523
Volume in Å³ per cell: 101
DOS at the Fermi energy in states/eV per atom: 0.586
SG: R-3m (166)
Theoretical density in g/cm³: 7.58

Unit cell a=3.8375 b=3.8375 c=8.2056 alpha=76.48 beta=76.48 gamma=60.00
With the nearest neighbours (Å) after each atom.
Fractional positions:
Si  0.7662  0.7662  0.7014  7 Co 2.28-2.36
Si  0.2338  0.2338  0.2986  7 Co 2.28-2.36
Be  0.5000  0.5000  0.5000  8 Co 2.15-2.35
Co  0.8658  0.8658  0.4026  3 Be 2.35, 4 Si 2.36, 3 Co 2.61
Co  0.5906  0.5906  0.2281  1 Be 2.15, 3 Si 2.28
Co  0.4094  0.4094  0.7719  1 Be 2.15, 3 Si 2.28
Co  0.1342  0.1342  0.5974  3 Be 2.35, 4 Si 2.36, 3 Co 2.61
Tb  0.0000  0.0000  0.0000  8 Co 2.86-3.18



Below is a relaxed Dy4Cu2Ir crystal, with properties calculated at the PBE level.

Values from the calculation:
Magnetic moment in μB per formula unit: 0.00
Formation energy from the elements in eV per atom: -0.385
Volume in Å³ per cell: 330
DOS at the Fermi energy in states/eV per atom: 0.857
SG: C2 (5)
Theoretical density in g/cm³: 9.75

Unit cell a=7.4755 b=7.6282 c=7.6285 alpha=113.10 beta=110.69 gamma=105.47
With the nearest neighbours (Å) after each atom.
Fractional positions:
Dy  0.8135  0.5345  0.6343  1 Ir 2.74, 2 Cu 2.88-3.04
Dy  0.1739  0.0250  0.7492  2 Ir 2.78-2.96, 3 Cu 2.86-2.98
Dy  0.5091  0.7692  0.8762  2 Ir 2.86-2.87, 4 Cu 2.87-3.16
Dy  0.4363  0.5706  0.2206  1 Ir 2.74, 2 Cu 2.88-3.03
Dy  0.0759  0.3253  0.3510  2 Ir 2.78-2.96, 3 Cu 2.85-2.98
Dy  0.8900  0.6592  0.1642  2 Ir 2.78-2.99, 3 Cu 3.03
Dy  0.7408  0.1171  0.7602  2 Ir 2.86-2.87, 4 Cu 2.87-3.16
Dy  0.3603  0.0245  0.2696  2 Ir 2.78-2.99, 3 Cu 3.03
Cu  0.4624  0.3421  0.7294  1 Cu 2.72, 5 Dy 2.87-3.04
Cu  0.7877  0.0167  0.3797  1 Cu 2.72, 5 Dy 2.87-3.04
Cu  0.6248  0.2611  0.1360  8 Dy 2.98-3.16, 2 Cu 3.27-3.28
Cu  0.1251  0.3880  0.7627  2 Cu 2.72, 5 Dy 2.85-3.04
Ir  0.3009  0.7799  0.4878  7 Dy 2.74-2.99
Ir  0.9492  0.9369  0.9791  7 Dy 2.74-2.99



Below is a relaxed La3DySn3 crystal, with properties calculated at the PBE level.

Values from the calculation:
Magnetic moment in μB per formula unit: 0.00
Formation energy from the elements in eV per atom: -0.506
Volume in Å³ per cell: 489
DOS at the Fermi energy in states/eV per atom: 0.827
SG: C2/m (12)
Theoretical density in g/cm³: 6.35

Unit cell a=8.0553 b=8.0553 c=8.3036 alpha=91.71 beta=91.71 gamma=114.55
With the nearest neighbours (Å) after each atom.
Fractional positions:
Sn  0.0521  0.0521  0.7840  2 Dy 3.02-3.07, 3 La 3.16-3.25
Sn  0.5066  0.8479  0.7023  1 Dy 2.95, 2 La 3.15-3.30
Sn  0.8479  0.5066  0.7023  1 Dy 2.95, 2 La 3.15-3.30
Sn  0.4934  0.1521  0.2977  1 Dy 2.95, 2 La 3.15-3.30
Sn  0.9479  0.9479  0.2160  2 Dy 3.02-3.07, 3 La 3.16-3.25
Sn  0.1521  0.4934  0.2977  1 Dy 2.95, 2 La 3.15-3.30
La  0.2259  0.7741  0.0000  4 Sn 3.30-3.59
La  0.7741  0.2259  0.0000  4 Sn 3.30-3.59
La  0.1639  0.8361  0.5000  6 Sn 3.15-3.35
La  0.6220  0.6220  0.3662  1 La 3.16, 3 Sn 3.16-3.51
La  0.8361  0.1639  0.5000  6 Sn 3.15-3.35
La  0.3780  0.3780  0.6338  1 La 3.16, 3 Sn 3.16-3.51
Dy  0.7316  0.7316  0.9195  4 Sn 2.95-3.07
Dy  0.2684  0.2684  0.0805  4 Sn 2.95-3.07



Below is a relaxed Pr2ZnNi5Rh2 crystal, with properties calculated at the PBE level.

Values from the calculation:
Magnetic moment in μB per formula unit: 0.00
Formation energy from the elements in eV per atom: -0.150
Volume in Å³ per cell: 326
DOS at the Fermi energy in states/eV per atom: 0.992
SG: P4/mbm (127)
Theoretical density in g/cm³: 8.61

Unit cell a=3.7204 b=9.3658 c=9.3658 alpha=90.00 beta=90.00 gamma=90.00
With the nearest neighbours (Å) after each atom.
Fractional positions:
Ni  0.5000  0.0000  0.5000  4 Rh 2.53
Ni  0.5000  0.6869  0.4445  2 Ni 2.58, 2 Zn 2.61, 2 Rh 2.63
Ni  0.5000  0.3131  0.5555  2 Ni 2.58, 2 Zn 2.61, 2 Rh 2.63
Ni  0.5000  0.5555  0.6869  2 Ni 2.58, 2 Zn 2.61, 2 Rh 2.63
Ni  0.5000  0.0555  0.8131  2 Ni 2.58, 2 Zn 2.61, 2 Rh 2.63
Ni  0.5000  0.5000  0.0000  4 Rh 2.53
Ni  0.5000  0.8131  0.9445  2 Ni 2.58, 2 Zn 2.61, 2 Rh 2.63
Ni  0.5000  0.1869  0.0555  2 Ni 2.58, 2 Zn 2.61, 2 Rh 2.63
Ni  0.5000  0.4445  0.3131  2 Ni 2.58, 2 Zn 2.61, 2 Rh 2.63
Ni  0.5000  0.9445  0.1869  2 Ni 2.58, 2 Zn 2.61, 2 Rh 2.63
Zn  0.0000  0.0000  0.0000  8 Ni 2.61
Zn  0.0000  0.5000  0.5000  8 Ni 2.61
Rh  0.0000  0.6292  0.8708  6 Ni 2.53-2.63, 1 Pr 2.63
Rh  0.0000  0.8708  0.3708  6 Ni 2.53-2.63, 1 Pr 2.63
Rh  0.0000  0.3708  0.1292  6 Ni 2.53-2.63, 1 Pr 2.63
Rh  0.0000  0.1292  0.6292  6 Ni 2.53-2.63, 1 Pr 2.63
Pr  0.0000  0.8281  0.6719  3 Rh 2.63-2.85, 2 Ni 2.94
Pr  0.0000  0.1719  0.3281  3 Rh 2.63-2.85, 2 Ni 2.94
Pr  0.0000  0.6719  0.1719  3 Rh 2.63-2.85, 2 Ni 2.94
Pr  0.0000  0.3281  0.8281  3 Rh 2.63-2.85, 2 Ni 2.94



Below is a relaxed K2CeNp3O12 crystal, with properties calculated at the PBE level.

Values from the calculation:
Magnetic moment in μB per formula unit: 3.12
Formation energy without anion corrections in meV per atom: -2745
Volume in Å³ per cell: 353
DOS at the Fermi energy in states/eV per atom: 0.276
SG: R-3m (166)
Theoretical density in g/cm³: 5.27

Unit cell a=7.8808 b=7.8808 c=7.8808 alpha=60.88 beta=60.88 gamma=60.88
With the nearest neighbours (Å) after each atom.
Fractional positions:
Ce  0.0000  0.0000  0.0000  6 O 2.26
O  0.0593  0.6909  0.6909  2 Np 2.10
O  0.3377  0.9273  0.9273  1 Np 2.01
O  0.0727  0.0727  0.6623  1 Np 2.01
O  0.6909  0.6909  0.0593  2 Np 2.10
O  0.3091  0.9407  0.3091  2 Np 2.10
O  0.6623  0.0727  0.0727  1 Np 2.01
O  0.3091  0.3091  0.9407  2 Np 2.10
O  0.9273  0.9273  0.3377  1 Np 2.01
O  0.0727  0.6623  0.0727  1 Np 2.01
O  0.6909  0.0593  0.6909  2 Np 2.10
O  0.9407  0.3091  0.3091  2 Np 2.10
O  0.9273  0.3377  0.9273  1 Np 2.01
Np  0.5000  0.0000  0.0000  6 O 2.01-2.10
Np  0.0000  0.0000  0.5000  6 O 2.01-2.10
Np  0.0000  0.5000  0.0000  6 O 2.01-2.10
K  0.3285  0.3285  0.3285  6 O 2.95-3.21
K  0.6715  0.6715  0.6715  6 O 2.95-3.21



Below is a relaxed SmHfTeO6 crystal, with properties calculated at the PBE level.

Values from the calculation:
Magnetic moment in μB per formula unit: 0.41
Formation energy without anion corrections in meV per atom: -2461
Volume in Å³ per cell: 259
DOS at the Fermi energy in states/eV per atom: 0.557
SG: P-31c (163)
Theoretical density in g/cm³: 7.07

Unit cell a=5.4790 b=5.4790 c=9.9793 alpha=90.00 beta=90.00 gamma=120.00
With the nearest neighbours (Å) after each atom.
Fractional positions:
O  0.3552  0.3586  0.8616  1 Te 2.08, 1 Hf 2.10
O  0.3586  0.3552  0.3616  1 Te 2.08, 1 Hf 2.10
O  0.9966  0.6414  0.3616  1 Te 2.08, 1 Hf 2.10
O  0.0034  0.6448  0.8616  1 Te 2.08, 1 Hf 2.10
O  0.3586  0.0034  0.1384  1 Te 2.08, 1 Hf 2.10
O  0.0034  0.3586  0.6384  1 Te 2.08, 1 Hf 2.10
O  0.9966  0.3552  0.1384  1 Te 2.08, 1 Hf 2.10
O  0.6448  0.6414  0.1384  1 Te 2.08, 1 Hf 2.10
O  0.3552  0.9966  0.6384  1 Te 2.08, 1 Hf 2.10
O  0.6448  0.0034  0.3616  1 Te 2.08, 1 Hf 2.10
O  0.6414  0.6448  0.6384  1 Te 2.08, 1 Hf 2.10
O  0.6414  0.9966  0.8616  1 Te 2.08, 1 Hf 2.10
Hf  0.6667  0.3333  0.7500  6 O 2.10
Hf  0.3333  0.6667  0.2500  6 O 2.10
Te  0.3333  0.6667  0.7500  6 O 2.08
Te  0.6667  0.3333  0.2500  6 O 2.08
Sm  0.0000  0.0000  0.0000  6 O 2.39
Sm  0.0000  0.0000  0.5000  6 O 2.39



Below is a relaxed ZrInNi2Cl crystal, with properties calculated at the PBE level.

Values from the calculation:
Magnetic moment in μB per formula unit: 0.00
Formation energy without anion corrections in meV per atom: 156
Volume in Å³ per cell: 88
DOS at the Fermi energy in states/eV per atom: 0.467
SG: P4/mmm (123)
Theoretical density in g/cm³: 6.74

Unit cell a=4.2765 b=4.8312 c=4.2765 alpha=90.00 beta=90.00 gamma=90.00
With the nearest neighbours (Å) after each atom.
Fractional positions:
Ni  0.5000  0.0000  0.0000  2 Cl 2.14
Ni  0.0000  0.0000  0.5000  2 Cl 2.14
In  0.5000  0.5000  0.5000  4 Zr 3.02, 8 Ni 3.23
Zr  0.0000  0.5000  0.0000  2 Cl 2.42
Cl  0.0000  0.0000  0.0000  4 Ni 2.14



Below is a relaxed ReRh crystal, with properties calculated at the PBE level.

Values from the calculation:
Magnetic moment in μB per formula unit: 0.00
Formation energy from the elements in eV per atom: -0.124
Volume in Å³ per cell: 58
DOS at the Fermi energy in states/eV per atom: 0.638
SG: Pmmn (59)
Theoretical density in g/cm³: 16.58

Unit cell a=2.7521 b=4.8175 c=4.3674 alpha=90.00 beta=90.00 gamma=90.00
With the nearest neighbours (Å) after each atom.
Fractional positions:
Rh  0.5000  0.0799  0.0000  6 Rh 2.69-2.75, 6 Re 2.70-2.82
Rh  0.0000  0.9201  0.5000  6 Rh 2.69-2.75, 6 Re 2.70-2.82
Re  0.5000  0.4091  0.5000  6 Rh 2.70-2.82, 6 Re 2.73-2.75
Re  0.0000  0.5909  0.0000  6 Rh 2.70-2.82, 6 Re 2.73-2.75



Below is a relaxed Pr4Y2HoSc crystal, with properties calculated at the PBE level.

Values from the calculation:
Magnetic moment in μB per formula unit: 0.00
Formation energy from the elements in eV per atom: 0.030
Volume in Å³ per cell: 263
DOS at the Fermi energy in states/eV per atom: 1.326
SG: Pmmm (47)
Theoretical density in g/cm³: 6.00

Unit cell a=5.1521 b=5.1412 c=11.1826 alpha=62.65 beta=90.00 gamma=90.00
With the nearest neighbours (Å) after each atom.
Fractional positions:
Pr  0.0000  0.7549  0.7452  2 Sc 3.54, 4 Y 3.54-3.61, 2 Ho 3.61, 4 Pr 3.64
Pr  0.5000  0.2545  0.7454  4 Y 3.54-3.61, 2 Sc 3.55, 2 Ho 3.61, 4 Pr 3.64
Pr  0.0000  0.2451  0.2548  2 Sc 3.54, 4 Y 3.54-3.61, 2 Ho 3.61, 4 Pr 3.64
Pr  0.5000  0.7455  0.2546  4 Y 3.54-3.61, 2 Sc 3.55, 2 Ho 3.61, 4 Pr 3.64
Y  0.0000  0.0000  0.0000  8 Pr 3.61, 4 Ho 3.64
Y  0.5000  0.0000  0.5000  8 Pr 3.54, 4 Sc 3.64
Ho  0.5000  0.5000  0.0000  8 Pr 3.61, 4 Y 3.64
Sc  0.0000  0.5000  0.5000  8 Pr 3.54-3.55, 4 Y 3.64



Below is a relaxed SmHoGeAu crystal, with properties calculated at the PBE level.

Values from the calculation:
Magnetic moment in μB per formula unit: 0.60
Formation energy from the elements in eV per atom: -0.736
Volume in Å³ per cell: 95
DOS at the Fermi energy in states/eV per atom: 0.959
SG: F-43m (216)
Theoretical density in g/cm³: 10.23

Unit cell a=5.1208 b=5.1208 c=5.1208 alpha=60.00 beta=60.00 gamma=60.00
With the nearest neighbours (Å) after each atom.
Fractional positions:
Ho  0.0000  0.0000  0.0000  4 Au 3.14, 4 Ge 3.14
Sm  0.5000  0.5000  0.5000  4 Ge 3.14, 4 Au 3.14
Au  0.7500  0.7500  0.7500  4 Ho 3.14, 4 Sm 3.14
Ge  0.2500  0.2500  0.2500  4 Ho 3.14, 4 Sm 3.14